[1]
An optimized crystal structure of ZnAgHg, computed with PBE.

The structure in POSCAR format:
```
ZnAgHg
1.0
-1.609 2.471 -0.331
-2.477 -1.457 1.179
2.531 0.586 6.024
Hg Ag Zn
1 1 1
Direct
0.132 0.858 0.241
0.458 0.358 0.887
0.818 0.857 0.615
```

Results
Density: 10.57 g/cm³
Energy relative to the lowest polymorph listed for this composition: 15.5 meV per atom
Energy relative to the elements: 0.060 eV per atom
Symmetry: P1, No. 1
Total magnetization: 0.00 μB/f.u.



[2]
An optimized crystal structure of ZnAg2Hg, computed with PBE.

The structure in POSCAR format:
```
ZnAg2Hg
1.0
9.837 0.048 0.028
9.367 3.007 0.028
9.367 1.490 2.612
Ag Hg Zn
2 1 1
Direct
0.254 0.254 0.254
0.002 0.002 0.002
0.500 0.500 0.500
0.743 0.743 0.743
```

Results
Density: 10.63 g/cm³
Energy relative to the lowest polymorph listed for this composition: 58.4 meV per atom
Energy relative to the elements: 0.090 eV per atom
Symmetry: R3m, No. 160
Total magnetization: 0.00 μB/f.u.



[3]
An optimized crystal structure of Zn3Ag3Hg, computed with PBE.

The structure in POSCAR format:
```
Zn3Ag3Hg
1.0
-5.788 -4.191 -1.364
1.887 -4.391 5.485
-3.983 4.010 4.581
Ag Hg Zn
6 2 6
Direct
0.000 0.750 0.500
0.000 0.250 0.500
0.500 0.000 0.250
0.250 0.500 0.000
0.750 0.500 0.000
0.500 0.000 0.750
0.000 0.000 0.000
0.500 0.500 0.500
0.750 0.000 0.500
0.000 0.500 0.250
0.500 0.250 0.000
0.000 0.500 0.750
0.250 0.000 0.500
0.500 0.750 0.000
```

Results
Density: 6.21 g/cm³
Energy relative to the elements: 0.448 eV per atom
Symmetry: Pm-3n, No. 223
Total magnetization: 0.00 μB/f.u.



[4]
An optimized crystal structure of Zn2Ag6Hg, computed with PBE.

The structure in POSCAR format:
```
Zn2Ag6Hg
1.0
-0.225 4.856 -0.904
-5.289 1.963 6.097
4.449 2.499 6.554
Ag Hg Zn
12 2 4
Direct
0.354 0.893 0.647
0.528 0.324 0.563
0.146 0.353 0.107
0.028 0.563 0.324
0.646 0.107 0.353
0.972 0.437 0.676
0.692 0.257 0.986
0.808 0.014 0.743
0.192 0.986 0.257
0.308 0.743 0.014
0.854 0.647 0.893
0.472 0.676 0.437
0.250 0.119 0.881
0.750 0.881 0.119
0.592 0.460 0.212
0.408 0.540 0.788
0.908 0.788 0.540
0.092 0.212 0.460
```

Results
Density: 10.14 g/cm³
Energy relative to the elements: 0.033 eV per atom
Symmetry: C2/c, No. 15
Total magnetization: 0.00 μB/f.u.



Please write out number 2 again, unchanged.
An optimized crystal structure of ZnAg2Hg, computed with PBE.

The structure in POSCAR format:
```
ZnAg2Hg
1.0
9.837 0.048 0.028
9.367 3.007 0.028
9.367 1.490 2.612
Ag Hg Zn
2 1 1
Direct
0.254 0.254 0.254
0.002 0.002 0.002
0.500 0.500 0.500
0.743 0.743 0.743
```

Results
Density: 10.63 g/cm³
Energy relative to the lowest polymorph listed for this composition: 58.4 meV per atom
Energy relative to the elements: 0.090 eV per atom
Symmetry: R3m, No. 160
Total magnetization: 0.00 μB/f.u.



> The highest density belongs to which entry?

ZnAg2Hg



> What is the formula in the first record?

ZnAgHg